{"formula": "Cd2InPb", "functional": "SCAN", "state": "PBEsol geometry", "energy_ev_per_cell": -169.575, "formation_energy_mev_per_atom": 105, "sg": "No. 225", "lattice_angstrom": [[-0.331, 2.381, -4.609], [-3.749, -1.327, -3.348], [-3.915, 3.284, -0.954]], "species": ["Pb", "In", "Cd", "Cd"], "frac_coords": [[0.500, 0.500, 0.500], [0.000, 0.000, 0.000], [0.750, 0.750, 0.750], [0.250, 0.250, 0.250]]}

{"formula": "Sr5Re2N6", "functional": "SCAN", "state": "PBEsol geometry", "energy_ev_per_cell": -639.711, "sg": "No. 15", "raw_formation_energy_ev_per_fu": -10.54, "lattice_angstrom": [[6.251, 0.009, 0.002], [2.361, 5.788, 0.002], [2.347, 1.580, 12.831]], "species": ["Sr", "Sr", "Sr", "Sr", "Sr", "Sr", "Sr", "Sr", "Sr", "Sr", "Re", "Re", "Re", "Re", "N", "N", "N", "N", "N", "N", "N", "N", "N", "N", "N", "N"], "frac_coords": [[0.677, 0.202, 0.496], [0.798, 0.323, 0.004], [0.323, 0.798, 0.504], [0.202, 0.677, 0.996], [0.744, 0.938, 0.216], [0.062, 0.256, 0.284], [0.256, 0.062, 0.784], [0.938, 0.744, 0.716], [0.382, 0.618, 0.250], [0.618, 0.382, 0.750], [0.334, 0.127, 0.060], [0.873, 0.666, 0.440], [0.666, 0.873, 0.940], [0.127, 0.334, 0.560], [0.103, 0.003, 0.122], [0.997, 0.897, 0.378], [0.897, 0.997, 0.878], [0.003, 0.103, 0.622], [0.405, 0.304, 0.142], [0.696, 0.595, 0.358], [0.595, 0.696, 0.858], [0.304, 0.405, 0.642], [0.658, 0.752, 0.081], [0.248, 0.342, 0.419], [0.342, 0.248, 0.919], [0.752, 0.658, 0.581]]}

{"formula": "Rh3Br", "functional": "SCAN", "state": "PBEsol geometry", "energy_ev_per_cell": -118.067, "sg": "No. 123", "raw_formation_energy_ev_per_fu": 2.71, "lattice_angstrom": [[2.795, 0.000, 0.000], [0.000, 4.598, 0.000], [0.000, 0.000, 4.598]], "species": ["Br", "Rh", "Rh", "Rh"], "frac_coords": [[0.000, 0.000, 0.000], [0.500, 0.500, 0.000], [0.000, 0.500, 0.500], [0.500, 0.000, 0.500]]}

{"formula": "Te3Se", "functional": "SCAN", "state": "PBEsol geometry", "energy_ev_per_cell": -788.903, "sg": "No. 59", "raw_formation_energy_ev_per_fu": 0.35, "lattice_angstrom": [[-2.023, 6.537, -3.034], [-4.704, -3.885, -5.234], [-8.824, 0.707, 7.406]], "species": ["Se", "Se", "Se", "Se", "Se", "Se", "Te", "Te", "Te", "Te", "Te", "Te", "Te", "Te", "Te", "Te", "Te", "Te", "Te", "Te", "Te", "Te", "Te", "Te"], "frac_coords": [[0.074, 0.000, 0.500], [0.669, 0.000, 0.190], [0.669, 0.000, 0.810], [0.926, 0.500, 0.000], [0.331, 0.500, 0.690], [0.331, 0.500, 0.310], [0.166, 0.745, 0.170], [0.166, 0.745, 0.830], [0.506, 0.735, 0.500], [0.494, 0.765, 0.000], [0.834, 0.755, 0.670], [0.834, 0.755, 0.330], [0.004, 0.000, 0.000], [0.347, 0.000, 0.663], [0.347, 0.000, 0.337], [0.166, 0.255, 0.170], [0.166, 0.255, 0.830], [0.506, 0.265, 0.500], [0.494, 0.235, 0.000], [0.834, 0.245, 0.670], [0.834, 0.245, 0.330], [0.996, 0.500, 0.500], [0.653, 0.500, 0.163], [0.653, 0.500, 0.837]]}

{"formula": "Zr2PtAu", "functional": "SCAN", "state": "PBEsol geometry", "energy_ev_per_cell": -204.296, "formation_energy_mev_per_atom": -887, "sg": "No. 139", "lattice_angstrom": [[4.336, 0.000, 0.000], [-2.168, 4.465, 0.019], [0.000, -2.121, 3.782]], "species": ["Au", "Pt", "Zr", "Zr"], "frac_coords": [[0.500, 0.000, 0.500], [0.000, 0.000, 0.000], [0.750, 0.500, 0.250], [0.250, 0.500, 0.750]]}

{"formula": "Ba4Y2Cu5O14", "functional": "SCAN", "state": "PBEsol geometry", "energy_ev_per_cell": -428.939, "sg": "No. 8", "raw_formation_energy_ev_per_fu": -51.82, "lattice_angstrom": [[-0.419, -0.958, 5.291], [5.367, -0.399, 0.352], [-1.695, 12.150, -0.610]], "species": ["Ba", "Ba", "Ba", "Ba", "Y", "Y", "Cu", "Cu", "Cu", "Cu", "Cu", "O", "O", "O", "O", "O", "O", "O", "O", "O", "O", "O", "O", "O", "O"], "frac_coords": [[0.394, 0.894, 0.802], [0.099, 0.599, 0.188], [0.894, 0.394, 0.802], [0.599, 0.099, 0.188], [0.255, 0.755, 0.509], [0.755, 0.255, 0.509], [0.004, 0.004, 0.007], [0.503, 0.503, 0.004], [0.178, 0.178, 0.352], [0.678, 0.678, 0.352], [0.310, 0.310, 0.624], [0.781, 0.281, 0.006], [0.546, 0.070, 0.618], [0.414, 0.414, 0.850], [0.546, 0.546, 0.619], [0.281, 0.781, 0.006], [0.940, 0.442, 0.377], [0.070, 0.546, 0.618], [0.084, 0.084, 0.164], [0.914, 0.914, 0.855], [0.938, 0.938, 0.375], [0.070, 0.070, 0.618], [0.442, 0.940, 0.377], [0.583, 0.583, 0.162], [0.440, 0.440, 0.375]]}

{"formula": "SrAuSe2", "functional": "SCAN", "state": "PBEsol geometry", "energy_ev_per_cell": -134.424, "sg": "No. 119", "raw_formation_energy_ev_per_fu": -2.84, "lattice_angstrom": [[-0.668, -3.849, 1.281], [2.339, 0.695, 3.308], [-5.171, 3.234, 0.422]], "species": ["Au", "Se", "Se", "Sr"], "frac_coords": [[0.250, 0.750, 0.500], [0.000, 0.000, 0.000], [0.750, 0.250, 0.500], [0.500, 0.500, 0.000]]}

{"formula": "Ba2AlH", "functional": "SCAN", "state": "PBEsol geometry", "energy_ev_per_cell": -89.889, "sg": "No. 225", "lattice_angstrom": [[-1.310, -2.636, 4.772], [-0.661, -5.567, 0.037], [3.794, -3.257, 2.536]], "species": ["H", "Ba", "Ba", "Al"], "frac_coords": [[0.000, 0.000, 0.000], [0.250, 0.250, 0.250], [0.750, 0.750, 0.750], [0.500, 0.500, 0.500]]}